! GGA+U Nb2Zn2CrO8, relaxed; values from VASP
&SYSTEM
  ibrav = 0, nat = 26, ntyp = 4
/
ATOMIC_SPECIES
Cr 52.00 Cr.upf
Nb 92.91 Nb.upf
O 16.00 O.upf
Zn 65.41 Zn.upf
CELL_PARAMETERS angstrom
-1.852 -5.345 -8.522
3.962 -3.780 -8.640
1.263 -4.508 2.449
ATOMIC_POSITIONS angstrom
Cr 2.885 -7.734 -6.739
Cr 0.503 -5.951 -7.928
Nb 0.283 -9.593 -8.658
Nb -0.240 -7.315 -4.737
Nb 3.068 -4.001 -6.041
Nb 3.611 -6.273 -9.963
O 1.772 -4.237 -7.382
O 0.948 -6.882 -6.128
O 3.884 -5.812 -5.983
O 1.524 -9.503 -7.284
O 1.424 -9.386 -10.310
O 2.459 -6.683 -11.568
O 4.593 -8.807 -7.555
O 1.953 -4.204 -4.362
O 0.889 -6.914 -3.104
O -1.297 -4.782 -7.116
O 2.892 -9.264 -12.976
O 0.495 -4.327 -1.708
O 2.291 -11.849 -11.726
O 2.545 -6.804 -8.542
O -0.466 -7.745 -8.690
O 1.048 -1.754 -2.956
Zn 0.953 -7.981 -11.704
Zn 3.372 -9.754 -10.516
Zn 2.402 -5.614 -2.977
Zn -0.002 -3.837 -4.166
! symmetry: Cc, No. 9
! final energy: -7.436 eV per atom